VASP calculation (PBE) on crystalline MgAlCr2 at its relaxed geometry.

The calculation puts the calculated total energy at -24.3 eV per cell. Its crystal system is tetragonal. As for the density: 4.31 g/cm3. The calculation puts the calculated volume at 15.0 Å³ per atom. The energy of formation from the pure elements comes out at 0.063 eV per atom.

Cell and atoms, written as CIF:
```
data_MgAlCr2
_chemical_formula_sum 'Mg1 Al1 Cr2'
_cell_length_a 3.0230
_cell_length_b 3.0230
_cell_length_c 6.5513
_cell_angle_alpha 90.00
_cell_angle_beta 90.00
_cell_angle_gamma 90.00
_symmetry_space_group_name_H-M 'P 4 m m'
_symmetry_Int_Tables_number 99
_symmetry_space_group_name_Hall 'P 4 -2'
loop_
_atom_site_label
_atom_site_type_symbol
_atom_site_fract_x
_atom_site_fract_y
_atom_site_fract_z
Mg1 Mg 0.0000 0.0000 0.0000
Al1 Al 0.5000 0.5000 0.3051
Cr1 Cr 0.0000 0.0000 0.5392
Cr2 Cr 0.5000 0.5000 0.7152
```